[1]
Here is crystalline TlSnNF2 at its relaxed geometry from the Alexandria database. Energies are from PBE.

a = 4.5552 Å, b = 4.5552 Å, c = 4.2455 Å
α = 90.00°, β = 90.00°, γ = 90.00°
Sites, in units of the cell vectors:
N 0.0000 0.0000 0.5000
Tl 0.0000 0.0000 0.0000
F 0.5000 0.0000 0.0000
Sn 0.5000 0.5000 0.5000
F 0.0000 0.5000 0.0000

Computed properties:
- DOS(E_F) (states/eV per atom) = 0.2212
- uncorrected formation energy (eV per atom) = -0.380
- raw total energy (Ry/atom) = -0.299
- mass density (g/cm3) = 7.07
- volume (Å³/cell) = 88
- E above lowest polymorph (meV per atom) = 576
- crystal system = tetragonal
- spin magnetization (μB/f.u.) = 0.000



[2]
Here is crystalline TlSnNF2 at its relaxed geometry from the Alexandria database. Energies are from PBE.

a = 4.5744 Å, b = 4.5744 Å, c = 3.9058 Å
α = 90.00°, β = 90.00°, γ = 90.00°
Sites, in units of the cell vectors:
F 0.5000 0.0000 0.0000
N 0.0000 0.0000 0.5000
F 0.0000 0.5000 0.0000
Tl 0.5000 0.5000 0.5000
Sn 0.0000 0.0000 0.0000

Computed properties:
- DOS(E_F) (states/eV per atom) = 0.1777
- uncorrected formation energy (eV per atom) = -0.955
- raw total energy (Ry/atom) = -0.341
- mass density (g/cm3) = 7.62
- volume (Å³/cell) = 82
- E above lowest polymorph (meV per atom) = 0
- crystal system = tetragonal
- spin magnetization (μB/f.u.) = 0.000